1.
Computed, not measured: a relaxed HPdRu2W crystal at the PBE level of DFT.

a b c (Å): 3.9349 3.9349 3.9296
angles (deg): 90.00 90.00 90.00
With the nearest neighbours (Å) after each atom.
Space group P4/mmm (No. 123)
Unique sites:
H  0.0000  0.0000  0.0000 x1  2 W 1.96, 4 Ru 1.97
Pd  0.5000  0.5000  0.5000 x1  8 Ru 2.78, 4 W 2.78
Ru  0.0000  0.5000  0.0000 x2  2 H 1.97
W  0.0000  0.0000  0.5000 x1  2 H 1.96

Computed properties:
Density, Mg/m³: 13.47
Total moment, μB per formula unit: 0.000
ΔE to the lowest computed polymorph, eV/f.u.: 0.18



2.
Computed, not measured: a relaxed H5Pd12S3 crystal at the PBE level of DFT.

a b c (Å): 12.5714 12.5714 12.5714
angles (deg): 90.00 90.00 90.00
With the nearest neighbours (Å) after each atom.
Space group Ia-3d (No. 230)
Unique sites:
H  0.0000  0.0000  0.0000 x16  6 Pd 2.04
H  0.0000  0.2500  0.3750 x24  4 Pd 1.84
Pd  0.0380  0.0569  0.6473 x96  2 H 1.84-2.04
S  0.0000  0.2500  0.1250 x24  8 Pd 2.49-2.53

Computed properties:
Density, Mg/m³: 9.22
Total moment, μB per formula unit: 0.000
Total DFT energy (no corrections), eV for the cell shown: -748.88



3.
Computed, not measured: a relaxed H2Pd7S2 crystal at the PBE level of DFT.

a b c (Å): 7.7408 7.9236 5.1832
angles (deg): 90.00 104.22 90.00
With the nearest neighbours (Å) after each atom.
Space group C2/m (No. 12)
Unique sites:
H  0.2167  0.0000  0.4302 x4  4 Pd 1.80-1.88
Pd  0.0000  0.0000  0.5000 x2  2 H 1.80
Pd  0.1209  0.5000  0.2420 x4  1 H 1.85
Pd  0.2018  0.3154  0.7341 x8  1 H 1.88
S  0.0000  0.2508  0.0000 x4  6 Pd 2.38-2.44

Computed properties:
Density, Mg/m³: 8.74
Total moment, μB per formula unit: 0.000
Total DFT energy (no corrections), eV for the cell shown: -104.30



4.
Computed, not measured: a relaxed H2PdS crystal at the PBE level of DFT.

a b c (Å): 3.3743 3.3743 12.6037
angles (deg): 90.00 90.00 120.00
With the nearest neighbours (Å) after each atom.
Space group R-3m (No. 166, hexagonal axes)
Unique sites:
H  0.0000  0.0000  0.1350 x6  1 Pd 1.70
Pd  0.0000  0.0000  0.0000 x3  2 H 1.70
S  0.0000  0.0000  0.5000 x3  6 H 1.99

Computed properties:
Density, Mg/m³: 5.63
Total moment, μB per formula unit: 0.000
ΔE to the lowest computed polymorph, eV/f.u.: 0.52



5.
Computed, not measured: a relaxed HPdS2 crystal at the PBE level of DFT.

a b c (Å): 2.8899 2.8899 21.6158
angles (deg): 90.00 90.00 120.00
With the nearest neighbours (Å) after each atom.
Space group R-3m (No. 166, hexagonal axes)
Unique sites:
H  0.0000  0.0000  0.0000 x3  6 S 2.13
Pd  0.0000  0.0000  0.5000 x3  2 S 2.28
S  0.0000  0.0000  0.3945 x6  3 H 2.13, 1 Pd 2.28

Computed properties:
Density, Mg/m³: 5.47
Total moment, μB per formula unit: 0.000
ΔE to the lowest computed polymorph, eV/f.u.: 2.75



6.
Computed, not measured: a relaxed H3PdS crystal at the PBE level of DFT.

a b c (Å): 3.5865 3.5865 3.5865
angles (deg): 90.00 90.00 90.00
With the nearest neighbours (Å) after each atom.
Space group Pm-3m (No. 221)
Unique sites:
H  0.0000  0.0000  0.5000 x3  2 Pd 1.79
Pd  0.0000  0.0000  0.0000 x1  6 H 1.79
S  0.5000  0.5000  0.5000 x1  12 H 2.54

Computed properties:
Density, Mg/m³: 5.09
Total moment, μB per formula unit: 0.000
ΔE to the lowest computed polymorph, eV/f.u.: 0.00



7.
Computed, not measured: a relaxed H2PdS crystal at the PBE level of DFT.

a b c (Å): 3.6908 3.6908 11.7087
angles (deg): 90.00 90.00 90.00
With the nearest neighbours (Å) after each atom.
Space group I-42d (No. 122)
Unique sites:
H  0.2333  0.2500  0.1250 x8  2 Pd 1.93, 2 S 1.99
Pd  0.0000  0.0000  0.0000 x4  4 H 1.93
S  0.0000  0.0000  0.5000 x4  4 H 1.99

Computed properties:
Density, Mg/m³: 5.85
Total moment, μB per formula unit: 0.000
ΔE to the lowest computed polymorph, eV/f.u.: 0.00



8.
Computed, not measured: a relaxed H5Pd12S2 crystal at the PBE level of DFT.

a b c (Å): 11.0033 5.8145 7.5812
angles (deg): 90.00 103.53 90.00
With the nearest neighbours (Å) after each atom.
Space group C2/m (No. 12)
Unique sites:
H  0.0000  0.0000  0.0000 x2  6 Pd 2.02-2.07
H  0.2141  0.5000  0.2434 x4  3 Pd 1.81
H  0.2219  0.5000  0.9565 x4  2 Pd 1.84
Pd  0.0581  0.0000  0.2795 x4  1 H 2.07
Pd  0.0577  0.5000  0.2829 x4  1 H 1.81
Pd  0.1248  0.2534  0.9922 x8  2 H 1.84-2.02
Pd  0.2038  0.2580  0.6626 x8  1 H 1.81
S  0.0000  0.2456  0.5000 x4  6 Pd 2.29-2.41

Computed properties:
Density, Mg/m³: 9.48
Total moment, μB per formula unit: 0.000
Total DFT energy (no corrections), eV for the cell shown: -175.97



9.
Computed, not measured: a relaxed H3PdS crystal at the PBE level of DFT.

a b c (Å): 3.5104 3.5104 3.5104
angles (deg): 90.00 90.00 90.00
With the nearest neighbours (Å) after each atom.
Space group Pm-3m (No. 221)
Unique sites:
H  0.0000  0.0000  0.5000 x3  2 S 1.76
Pd  0.5000  0.5000  0.5000 x1  12 H 2.48
S  0.0000  0.0000  0.0000 x1  6 H 1.76

Computed properties:
Density, Mg/m³: 5.43
Total moment, μB per formula unit: 0.000
ΔE to the lowest computed polymorph, eV/f.u.: 0.22



10.
Computed, not measured: a relaxed HPdS crystal at the PBE level of DFT.

a b c (Å): 4.4171 5.9980 7.8037
angles (deg): 90.00 119.86 90.00
With the nearest neighbours (Å) after each atom.
Space group P2_1/c (No. 14)
Unique sites:
H  0.1699  0.0906  0.3135 x4  1 S 1.43
Pd  0.1257  0.7046  0.0651 x4  1 H 2.07, 1 S 2.32
S  0.3279  0.0830  0.1927 x4  1 H 1.43

Computed properties:
Density, Mg/m³: 5.17
Total moment, μB per formula unit: 0.000
Total DFT energy (no corrections), eV for the cell shown: -51.76



11.
Computed, not measured: a relaxed HPdS3 crystal at the PBE level of DFT.

a b c (Å): 4.0651 4.0651 4.0651
angles (deg): 90.00 90.00 90.00
With the nearest neighbours (Å) after each atom.
Space group Pm-3m (No. 221)
Unique sites:
H  0.0000  0.0000  0.0000 x1  6 S 2.03
Pd  0.5000  0.5000  0.5000 x1  12 S 2.87
S  0.0000  0.0000  0.5000 x3  2 H 2.03

Computed properties:
Density, Mg/m³: 5.03
Total moment, μB per formula unit: 0.000
ΔE to the lowest computed polymorph, eV/f.u.: 0.00



12.
Computed, not measured: a relaxed H2Pd4S crystal at the PBE level of DFT.

a b c (Å): 7.3287 9.0139 5.9378
angles (deg): 90.00 117.37 90.00
With the nearest neighbours (Å) after each atom.
Space group C2 (No. 5)
Unique sites:
H  0.9999  0.0000  0.2502 x4  6 Pd 2.01-2.13
H  0.2499  0.2494  0.2494 x4  2 Pd 1.75
Pd  0.0146  0.2257  0.2532 x4  1 H 1.75
Pd  0.0147  0.7745  0.7532 x4  1 H 1.75
Pd  0.2208  0.0052  0.1120 x4  2 H 2.01-2.13
Pd  0.2207  0.9950  0.6119 x4  2 H 2.01-2.12
S  0.0000  0.4188  0.5000 x2  6 Pd 2.31-2.52
S  0.0000  0.5813  0.0000 x2  6 Pd 2.31-2.52

Computed properties:
Density, Mg/m³: 8.77
Total moment, μB per formula unit: 0.000
Total DFT energy (no corrections), eV for the cell shown: -127.78



13.
Computed, not measured: a relaxed H2PdS crystal at the PBE level of DFT.

a b c (Å): 5.3228 5.3228 5.3228
angles (deg): 90.00 90.00 90.00
With the nearest neighbours (Å) after each atom.
Space group Fm-3m (No. 225)
Unique sites:
H  0.2500  0.2500  0.2500 x8  4 Pd 2.30, 4 S 2.30
Pd  0.0000  0.0000  0.0000 x4  8 H 2.30
S  0.0000  0.0000  0.5000 x4  8 H 2.30

Computed properties:
Density, Mg/m³: 6.19
Total moment, μB per formula unit: 0.000
ΔE to the lowest computed polymorph, eV/f.u.: 1.39



14.
Computed, not measured: a relaxed HPdS2 crystal at the PBE level of DFT.

a b c (Å): 3.7238 3.7238 16.9734
angles (deg): 90.00 90.00 120.00
With the nearest neighbours (Å) after each atom.
Space group R-3m (No. 166, hexagonal axes)
Unique sites:
H  0.0000  0.0000  0.0000 x3  2 S 1.64
Pd  0.0000  0.0000  0.5000 x3  6 S 2.46
S  0.0000  0.0000  0.0965 x6  1 H 1.64

Computed properties:
Density, Mg/m³: 4.19
Total moment, μB per formula unit: 0.000
ΔE to the lowest computed polymorph, eV/f.u.: 0.00



15.
Computed, not measured: a relaxed HPdS2 crystal at the PBE level of DFT.

a b c (Å): 5.1887 5.1887 8.8021
angles (deg): 90.00 90.00 90.00
With the nearest neighbours (Å) after each atom.
Space group I-42d (No. 122)
Unique sites:
H  0.0000  0.0000  0.0000 x4  4 S 1.98
Pd  0.0000  0.0000  0.5000 x4  4 S 2.33
S  0.1936  0.2500  0.1250 x8  2 H 1.98

Computed properties:
Density, Mg/m³: 4.81
Total moment, μB per formula unit: 0.000
ΔE to the lowest computed polymorph, eV/f.u.: 1.61



16.
Computed, not measured: a relaxed H2PdS6 crystal at the PBE level of DFT.

a b c (Å): 12.9001 14.4274 5.2374
angles (deg): 90.00 92.12 90.00
With the nearest neighbours (Å) after each atom.
Space group C2/c (No. 15)
Unique sites:
H  0.1162  0.1758  0.1731 x8  1 S 1.41
Pd  0.0000  0.2303  0.7500 x4  4 S 2.34-2.41
S  0.0391  0.1156  0.0743 x8  1 H 1.41
S  0.0882  0.3481  0.5421 x8  1 S 1.98
S  0.1983  0.2845  0.3539 x8  1 S 1.98, 1 H 2.10

Computed properties:
Density, Mg/m³: 2.05
Total moment, μB per formula unit: 0.000
Total DFT energy (no corrections), eV for the cell shown: -146.28



17.
Computed, not measured: a relaxed HPdS2 crystal at the PBE level of DFT.

a b c (Å): 5.9517 5.9517 5.9517
angles (deg): 90.00 90.00 90.00
With the nearest neighbours (Å) after each atom.
Space group Fm-3m (No. 225)
Unique sites:
H  0.0000  0.0000  0.0000 x4  8 S 2.58
Pd  0.0000  0.0000  0.5000 x4  8 S 2.58
S  0.2500  0.2500  0.2500 x8  4 H 2.58, 4 Pd 2.58

Computed properties:
Density, Mg/m³: 5.41
Total moment, μB per formula unit: 0.086
ΔE to the lowest computed polymorph, eV/f.u.: 3.20



18.
Computed, not measured: a relaxed H3Pd6S crystal at the PBE level of DFT.

a b c (Å): 8.6882 3.0409 9.5393
angles (deg): 90.00 111.67 90.00
With the nearest neighbours (Å) after each atom.
Space group P2_1/m (No. 11)
Unique sites:
H  0.0095  0.2500  0.1643 x2  4 Pd 1.83-2.05
H  0.0584  0.2500  0.5893 x2  4 Pd 1.77-1.90
H  0.3167  0.7500  0.4636 x2  3 Pd 1.89-1.92
Pd  0.0693  0.2500  0.7788 x2  3 H 1.77-1.83
Pd  0.1522  0.7500  0.0489 x2  1 H 2.00
Pd  0.1608  0.7500  0.5584 x2  4 H 1.84-1.90
Pd  0.2386  0.2500  0.3328 x2  3 H 1.92-2.05
Pd  0.3715  0.7500  0.8822 x2  1 S 2.27
Pd  0.4636  0.2500  0.6372 x2  3 H 2.26-2.43, 2 S 2.44
S  0.3863  0.2500  0.1583 x2  6 Pd 2.27-2.45

Computed properties:
Density, Mg/m³: 9.55
Total moment, μB per formula unit: 0.000
Total DFT energy (no corrections), eV for the cell shown: -92.22



19.
Computed, not measured: a relaxed H2Pd3S crystal at the PBE level of DFT.

a b c (Å): 2.8986 4.8819 9.6678
angles (deg): 90.00 90.00 90.00
With the nearest neighbours (Å) after each atom.
Space group Immm (No. 71)
Unique sites:
H  0.0000  0.0000  0.1678 x4  2 Pd 1.85
Pd  0.0000  0.5000  0.2130 x4  2 H 1.85
Pd  0.0000  0.5000  0.5000 x2  4 H 2.18
S  0.0000  0.0000  0.5000 x2  6 Pd 2.44-2.52

Computed properties:
Density, Mg/m³: 8.58
Total moment, μB per formula unit: 0.000
Total DFT energy (no corrections), eV for the cell shown: -53.27



20.
Computed, not measured: a relaxed HPdS3 crystal at the PBE level of DFT.

a b c (Å): 4.7589 4.7589 4.7589
angles (deg): 90.00 90.00 90.00
With the nearest neighbours (Å) after each atom.
Space group Pm-3m (No. 221)
Unique sites:
H  0.0000  0.0000  0.0000 x1  12 S 3.37
Pd  0.5000  0.5000  0.5000 x1  6 S 2.38
S  0.0000  0.5000  0.5000 x3  2 Pd 2.38

Computed properties:
Density, Mg/m³: 3.14
Total moment, μB per formula unit: 3.494
ΔE to the lowest computed polymorph, eV/f.u.: 0.76